No. 1
# Tb8CuIr5, relaxed, DFT PBE
data_Tb8CuIr5
_cell_length_a 8.658
_cell_length_b 8.658
_cell_length_c 8.649
_cell_angle_alpha 90.00
_cell_angle_beta 90.00
_cell_angle_gamma 90.00
_symmetry_space_group_name_H-M 'I -4'
_symmetry_Int_Tables_number 82
loop_
_symmetry_equiv_pos_as_xyz
'x,y,z'
'y,-x,-z'
'-x,-y,z'
'-y,x,-z'
'x+1/2,y+1/2,z+1/2'
'y+1/2,-x+1/2,-z+1/2'
'-x+1/2,-y+1/2,z+1/2'
'-y+1/2,x+1/2,-z+1/2'
loop_
_atom_site_label
_atom_site_type_symbol
_atom_site_fract_x
_atom_site_fract_y
_atom_site_fract_z
Tb1 Tb 0.064 0.189 0.320
Tb2 Tb 0.066 0.318 0.940
Cu1 Cu 0.000 0.000 0.000
Ir1 Ir 0.000 0.500 0.250
Ir2 Ir 0.130 0.253 0.630
# D(E_F) = 3.26 states/eV/f.u.
# E_form = -0.67 eV per atom

No. 2
# Tb2CuIr, relaxed, DFT PBE
data_Tb2CuIr
_cell_length_a 4.848
_cell_length_b 4.848
_cell_length_c 3.525
_cell_angle_alpha 90.00
_cell_angle_beta 90.00
_cell_angle_gamma 90.00
_symmetry_space_group_name_H-M 'P 4/m m m'
_symmetry_Int_Tables_number 123
_symmetry_space_group_name_Hall '-P 4 2'
loop_
_atom_site_label
_atom_site_type_symbol
_atom_site_fract_x
_atom_site_fract_y
_atom_site_fract_z
Tb1 Tb 0.000 0.500 0.000
Cu1 Cu 0.000 0.000 0.500
Ir1 Ir 0.500 0.500 0.500
# D(E_F) = 2.69 states/eV/f.u.
# E_form = -0.55 eV per atom

No. 3
# Tb7Cu2Ir2, relaxed, DFT PBE
data_Tb7Cu2Ir2
_cell_length_a 7.834
_cell_length_b 10.714
_cell_length_c 7.054
_cell_angle_alpha 90.00
_cell_angle_beta 90.00
_cell_angle_gamma 90.00
_symmetry_space_group_name_H-M 'C m m m'
_symmetry_Int_Tables_number 65
_symmetry_space_group_name_Hall '-C 2 2'
loop_
_atom_site_label
_atom_site_type_symbol
_atom_site_fract_x
_atom_site_fract_y
_atom_site_fract_z
Tb1 Tb 0.000 0.000 0.000
Tb2 Tb 0.000 0.500 0.255
Tb3 Tb 0.250 0.250 0.262
Cu1 Cu 0.176 0.000 0.500
Ir1 Ir 0.000 0.289 0.000
# D(E_F) = 11.75 states/eV/f.u.
# E_form = -0.28 eV per atom

No. 4
# Tb8Cu2Ir, relaxed, DFT PBE
data_Tb8Cu2Ir
_cell_length_a 17.339
_cell_length_b 5.098
_cell_length_c 6.703
_cell_angle_alpha 90.00
_cell_angle_beta 105.58
_cell_angle_gamma 90.00
_symmetry_space_group_name_H-M 'C 1 2/m 1'
_symmetry_Int_Tables_number 12
loop_
_symmetry_equiv_pos_as_xyz
'x,y,z'
'-x,-y,-z'
'-x,y,-z'
'x,-y,z'
'x+1/2,y+1/2,z'
'-x+1/2,-y+1/2,-z'
'-x+1/2,y+1/2,-z'
'x+1/2,-y+1/2,z'
loop_
_atom_site_label
_atom_site_type_symbol
_atom_site_fract_x
_atom_site_fract_y
_atom_site_fract_z
Tb1 Tb 0.033 0.000 0.292
Tb2 Tb 0.089 0.500 0.940
Tb3 Tb 0.166 0.500 0.478
Tb4 Tb 0.201 0.000 0.828
Cu1 Cu 0.187 0.000 0.228
Ir1 Ir 0.000 0.500 0.500
# D(E_F) = 9.77 states/eV/f.u.
# E_form = -0.25 eV per atom
# Relative energy among the computed polymorphs = 0.000 eV per atom

No. 5
# Tb4Cu2Ir, relaxed, DFT PBE
data_Tb4Cu2Ir
_cell_length_a 4.8956
_cell_length_b 4.8956
_cell_length_c 23.8699
_cell_angle_alpha 90.00
_cell_angle_beta 90.00
_cell_angle_gamma 120.00
_symmetry_space_group_name_H-M 'R -3 m'
_symmetry_Int_Tables_number 166
_symmetry_space_group_name_Hall '-R 3 2"'
loop_
_atom_site_label
_atom_site_type_symbol
_atom_site_fract_x
_atom_site_fract_y
_atom_site_fract_z
Tb1 Tb 0.0000 0.0000 0.1232
Tb2 Tb 0.0000 0.0000 0.3743
Cu1 Cu 0.0000 0.0000 0.2479
Ir1 Ir 0.0000 0.0000 0.0000
# D(E_F) = 6.45 states/eV/f.u.
# E_form = -0.33 eV per atom
# Relative energy among the computed polymorphs = 0.048 eV per atom

No. 6
# Tb2CuIr, relaxed, DFT PBE
data_Tb2CuIr
_cell_length_a 5.585
_cell_length_b 4.340
_cell_length_c 7.656
_cell_angle_alpha 90.00
_cell_angle_beta 110.25
_cell_angle_gamma 90.00
_symmetry_space_group_name_H-M 'P 1 21/m 1'
_symmetry_Int_Tables_number 11
loop_
_symmetry_equiv_pos_as_xyz
'x,y,z'
'-x,-y,-z'
'-x,y+1/2,-z'
'x,-y+1/2,z'
loop_
_atom_site_label
_atom_site_type_symbol
_atom_site_fract_x
_atom_site_fract_y
_atom_site_fract_z
Tb1 Tb 0.216 0.250 0.436
Tb2 Tb 0.228 0.250 0.925
Cu1 Cu 0.344 0.750 0.212
Ir1 Ir 0.350 0.750 0.715
# D(E_F) = 2.58 states/eV/f.u.
# E_form = -0.62 eV per atom

No. 7
# Tb12Cu6Ir, relaxed, DFT PBE
data_Tb12Cu6Ir
_cell_length_a 12.3150
_cell_length_b 12.3150
_cell_length_c 11.9827
_cell_angle_alpha 90.00
_cell_angle_beta 90.00
_cell_angle_gamma 120.00
_symmetry_space_group_name_H-M 'R -3'
_symmetry_Int_Tables_number 148
_symmetry_space_group_name_Hall '-R 3'
loop_
_atom_site_label
_atom_site_type_symbol
_atom_site_fract_x
_atom_site_fract_y
_atom_site_fract_z
Tb1 Tb 0.0244 0.8238 0.3904
Tb2 Tb 0.0359 0.8375 0.8759
Cu1 Cu 0.0418 0.7726 0.6441
Ir1 Ir 0.0000 0.0000 0.0000
# D(E_F) = 21.66 states/eV/f.u.
# E_form = -0.06 eV per atom

No. 8
# Tb2CuIr, relaxed, DFT PBE
data_Tb2CuIr
_cell_length_a 4.905
_cell_length_b 4.905
_cell_length_c 6.888
_cell_angle_alpha 90.00
_cell_angle_beta 90.00
_cell_angle_gamma 90.00
_symmetry_space_group_name_H-M 'I 4/m m m'
_symmetry_Int_Tables_number 139
_symmetry_space_group_name_Hall '-I 4 2'
loop_
_atom_site_label
_atom_site_type_symbol
_atom_site_fract_x
_atom_site_fract_y
_atom_site_fract_z
Tb1 Tb 0.000 0.500 0.250
Cu1 Cu 0.000 0.000 0.000
Ir1 Ir 0.000 0.000 0.500
# D(E_F) = 2.36 states/eV/f.u.
# E_form = -0.57 eV per atom

No. 9
# Tb3Cu2Ir7, relaxed, DFT PBE
data_Tb3Cu2Ir7
_cell_length_a 5.3379
_cell_length_b 5.3379
_cell_length_c 25.3941
_cell_angle_alpha 90.00
_cell_angle_beta 90.00
_cell_angle_gamma 120.00
_symmetry_space_group_name_H-M 'R -3 m'
_symmetry_Int_Tables_number 166
_symmetry_space_group_name_Hall '-R 3 2"'
loop_
_atom_site_label
_atom_site_type_symbol
_atom_site_fract_x
_atom_site_fract_y
_atom_site_fract_z
Tb1 Tb 0.0000 0.0000 0.0000
Tb2 Tb 0.0000 0.0000 0.1408
Cu1 Cu 0.0000 0.0000 0.3343
Ir1 Ir 0.0000 0.0000 0.5000
Ir2 Ir 0.0047 0.5024 0.9179
# D(E_F) = 9.26 states/eV/f.u.
# E_form = -0.58 eV per atom

No. 10
# Tb8Cu2Ir, relaxed, DFT PBE
data_Tb8Cu2Ir
_cell_length_a 8.283
_cell_length_b 13.124
_cell_length_c 5.983
_cell_angle_alpha 90.00
_cell_angle_beta 111.70
_cell_angle_gamma 90.00
_symmetry_space_group_name_H-M 'C 1 m 1'
_symmetry_Int_Tables_number 8
loop_
_symmetry_equiv_pos_as_xyz
'x,y,z'
'x,-y,z'
'x+1/2,y+1/2,z'
'x+1/2,-y+1/2,z'
loop_
_atom_site_label
_atom_site_type_symbol
_atom_site_fract_x
_atom_site_fract_y
_atom_site_fract_z
Tb1 Tb 0.000 0.000 0.000
Tb2 Tb 0.079 0.374 0.819
Tb3 Tb 0.145 0.127 0.589
Tb4 Tb 0.222 0.500 0.378
Tb5 Tb 0.362 0.200 0.194
Cu1 Cu 0.356 0.305 0.686
Ir1 Ir 0.359 0.000 0.012
# D(E_F) = 15.33 states/eV/f.u.
# E_form = -0.14 eV per atom
# Relative energy among the computed polymorphs = 0.119 eV per atom

No. 11
# Tb3CuIr, relaxed, DFT PBE
data_Tb3CuIr
_cell_length_a 5.736
_cell_length_b 5.755
_cell_length_c 8.365
_cell_angle_alpha 100.82
_cell_angle_beta 101.18
_cell_angle_gamma 114.35
_symmetry_space_group_name_H-M 'P -1'
_symmetry_Int_Tables_number 2
loop_
_symmetry_equiv_pos_as_xyz
'x,y,z'
'-x,-y,-z'
loop_
_atom_site_label
_atom_site_type_symbol
_atom_site_fract_x
_atom_site_fract_y
_atom_site_fract_z
Tb1 Tb 0.071 0.210 0.295
Tb2 Tb 0.287 0.431 0.706
Tb3 Tb 0.308 0.807 0.121
Cu1 Cu 0.304 0.801 0.494
Ir1 Ir 0.249 0.250 0.000
# D(E_F) = 3.89 states/eV/f.u.
# E_form = -0.44 eV per atom

No. 12
# Tb4Cu3Ir, relaxed, DFT PBE
data_Tb4Cu3Ir
_cell_length_a 3.784
_cell_length_b 4.425
_cell_length_c 10.450
_cell_angle_alpha 90.00
_cell_angle_beta 90.00
_cell_angle_gamma 90.00
_symmetry_space_group_name_H-M 'P m m 2'
_symmetry_Int_Tables_number 25
loop_
_symmetry_equiv_pos_as_xyz
'x,y,z'
'-x,-y,z'
'-x,y,z'
'x,-y,z'
loop_
_atom_site_label
_atom_site_type_symbol
_atom_site_fract_x
_atom_site_fract_y
_atom_site_fract_z
Tb1 Tb 0.000 0.000 0.000
Tb2 Tb 0.000 0.500 0.272
Tb3 Tb 0.500 0.000 0.487
Tb4 Tb 0.500 0.500 0.774
Cu1 Cu 0.000 0.000 0.703
Cu2 Cu 0.000 0.500 0.564
Cu3 Cu 0.500 0.500 0.057
Ir1 Ir 0.500 0.000 0.212
# D(E_F) = 6.22 states/eV/f.u.
# E_form = -0.43 eV per atom

No. 13
# Tb4CuIr3, relaxed, DFT PBE
data_Tb4CuIr3
_cell_length_a 3.518
_cell_length_b 4.847
_cell_length_c 9.669
_cell_angle_alpha 90.00
_cell_angle_beta 90.00
_cell_angle_gamma 90.00
_symmetry_space_group_name_H-M 'P m m m'
_symmetry_Int_Tables_number 47
loop_
_symmetry_equiv_pos_as_xyz
'x,y,z'
'-x,-y,-z'
'-x,-y,z'
'x,y,-z'
'x,-y,-z'
'-x,y,z'
'-x,y,-z'
'x,-y,z'
loop_
_atom_site_label
_atom_site_type_symbol
_atom_site_fract_x
_atom_site_fract_y
_atom_site_fract_z
Tb1 Tb 0.000 0.000 0.000
Tb2 Tb 0.000 0.000 0.500
Tb3 Tb 0.000 0.500 0.245
Cu1 Cu 0.500 0.500 0.500
Ir1 Ir 0.500 0.000 0.252
Ir2 Ir 0.500 0.500 0.000
# D(E_F) = 4.97 states/eV/f.u.
# E_form = -0.68 eV per atom

No. 14
# TbCuIr4, relaxed, DFT PBE
data_TbCuIr4
_cell_length_a 7.431
_cell_length_b 7.431
_cell_length_c 7.431
_cell_angle_alpha 90.00
_cell_angle_beta 90.00
_cell_angle_gamma 90.00
_symmetry_space_group_name_H-M 'F -4 3 m'
_symmetry_Int_Tables_number 216
_symmetry_space_group_name_Hall 'F -4 2 3'
loop_
_atom_site_label
_atom_site_type_symbol
_atom_site_fract_x
_atom_site_fract_y
_atom_site_fract_z
Tb1 Tb 0.000 0.000 0.000
Cu1 Cu 0.250 0.250 0.750
Ir1 Ir 0.125 0.125 0.375
# D(E_F) = 6.93 states/eV/f.u.
# E_form = -0.22 eV per atom

No. 15
# Tb4CuIr2, relaxed, DFT PBE
data_Tb4CuIr2
_cell_length_a 7.505
_cell_length_b 7.515
_cell_length_c 7.518
_cell_angle_alpha 109.59
_cell_angle_beta 109.41
_cell_angle_gamma 109.37
_symmetry_space_group_name_H-M 'P 1'
_symmetry_Int_Tables_number 1
loop_
_symmetry_equiv_pos_as_xyz
'x,y,z'
loop_
_atom_site_label
_atom_site_type_symbol
_atom_site_fract_x
_atom_site_fract_y
_atom_site_fract_z
Tb1 Tb 0.000 0.000 0.000
Tb2 Tb 0.002 0.002 0.501
Tb3 Tb 0.132 0.519 0.887
Tb4 Tb 0.370 0.888 0.756
Tb5 Tb 0.500 0.633 0.368
Tb6 Tb 0.502 0.134 0.369
Tb7 Tb 0.632 0.519 0.886
Tb8 Tb 0.871 0.388 0.256
Cu1 Cu 0.251 0.384 0.501
Cu2 Cu 0.751 0.135 0.752
Ir1 Ir 0.135 0.761 0.261
Ir2 Ir 0.368 0.260 0.995
Ir3 Ir 0.635 0.893 0.128
Ir4 Ir 0.868 0.627 0.627
# D(E_F) = 4.62 states/eV/f.u.
# E_form = -0.57 eV per atom
# Relative energy among the computed polymorphs = 0.051 eV per atom

No. 16
# Tb8CuIr2, relaxed, DFT PBE
data_Tb8CuIr2
_cell_length_a 8.451
_cell_length_b 12.434
_cell_length_c 6.017
_cell_angle_alpha 90.00
_cell_angle_beta 106.87
_cell_angle_gamma 90.00
_symmetry_space_group_name_H-M 'C 1 m 1'
_symmetry_Int_Tables_number 8
loop_
_symmetry_equiv_pos_as_xyz
'x,y,z'
'x,-y,z'
'x+1/2,y+1/2,z'
'x+1/2,-y+1/2,z'
loop_
_atom_site_label
_atom_site_type_symbol
_atom_site_fract_x
_atom_site_fract_y
_atom_site_fract_z
Tb1 Tb 0.000 0.000 0.000
Tb2 Tb 0.069 0.368 0.796
Tb3 Tb 0.155 0.133 0.577
Tb4 Tb 0.227 0.500 0.385
Tb5 Tb 0.357 0.223 0.192
Cu1 Cu 0.363 0.000 0.362
Ir1 Ir 0.363 0.314 0.691
# D(E_F) = 11.50 states/eV/f.u.
# E_form = -0.31 eV per atom

No. 17
# Tb5Cu4Ir, relaxed, DFT PBE
data_Tb5Cu4Ir
_cell_length_a 3.477
_cell_length_b 3.477
_cell_length_c 17.463
_cell_angle_alpha 90.00
_cell_angle_beta 90.00
_cell_angle_gamma 90.00
_symmetry_space_group_name_H-M 'P 4/m m m'
_symmetry_Int_Tables_number 123
_symmetry_space_group_name_Hall '-P 4 2'
loop_
_atom_site_label
_atom_site_type_symbol
_atom_site_fract_x
_atom_site_fract_y
_atom_site_fract_z
Tb1 Tb 0.000 0.000 0.000
Tb2 Tb 0.000 0.000 0.201
Tb3 Tb 0.000 0.000 0.405
Cu1 Cu 0.500 0.500 0.100
Cu2 Cu 0.500 0.500 0.299
Ir1 Ir 0.500 0.500 0.500
# D(E_F) = 7.55 states/eV/f.u.
# E_form = -0.35 eV per atom

No. 18
# Tb4Cu2Ir, relaxed, DFT PBE
data_Tb4Cu2Ir
_cell_length_a 6.946
_cell_length_b 7.554
_cell_length_c 7.562
_cell_angle_alpha 105.51
_cell_angle_beta 106.68
_cell_angle_gamma 107.34
_symmetry_space_group_name_H-M 'P 1'
_symmetry_Int_Tables_number 1
loop_
_symmetry_equiv_pos_as_xyz
'x,y,z'
loop_
_atom_site_label
_atom_site_type_symbol
_atom_site_fract_x
_atom_site_fract_y
_atom_site_fract_z
Tb1 Tb 0.000 0.000 0.000
Tb2 Tb 0.007 0.929 0.436
Tb3 Tb 0.137 0.391 0.773
Tb4 Tb 0.430 0.911 0.827
Tb5 Tb 0.504 0.627 0.407
Tb6 Tb 0.523 0.073 0.329
Tb7 Tb 0.645 0.408 0.788
Tb8 Tb 0.936 0.432 0.275
Cu1 Cu 0.144 0.698 0.087
Cu2 Cu 0.452 0.304 0.061
Cu3 Cu 0.586 0.705 0.079
Cu4 Cu 0.952 0.661 0.664
Ir1 Ir 0.250 0.282 0.429
Ir2 Ir 0.752 0.051 0.678
# D(E_F) = 4.44 states/eV/f.u.
# E_form = -0.38 eV per atom
# Relative energy among the computed polymorphs = 0.000 eV per atom

No. 19
# Tb6CuIr5, relaxed, DFT PBE
data_Tb6CuIr5
_cell_length_a 8.402
_cell_length_b 14.745
_cell_length_c 4.902
_cell_angle_alpha 90.00
_cell_angle_beta 125.65
_cell_angle_gamma 90.00
_symmetry_space_group_name_H-M 'C 1 2/m 1'
_symmetry_Int_Tables_number 12
loop_
_symmetry_equiv_pos_as_xyz
'x,y,z'
'-x,-y,-z'
'-x,y,-z'
'x,-y,z'
'x+1/2,y+1/2,z'
'-x+1/2,-y+1/2,-z'
'-x+1/2,y+1/2,-z'
'x+1/2,-y+1/2,z'
loop_
_atom_site_label
_atom_site_type_symbol
_atom_site_fract_x
_atom_site_fract_y
_atom_site_fract_z
Tb1 Tb 0.247 0.000 0.247
Tb2 Tb 0.249 0.168 0.749
Cu1 Cu 0.000 0.500 0.000
Ir1 Ir 0.000 0.000 0.500
Ir2 Ir 0.000 0.167 0.000
Ir3 Ir 0.000 0.335 0.500
# D(E_F) = 6.62 states/eV/f.u.
# E_form = -0.72 eV per atom

No. 20
# TbThCuIr, relaxed, DFT PBE
data_TbThCuIr
_cell_length_a 4.176
_cell_length_b 3.901
_cell_length_c 11.242
_cell_angle_alpha 90.00
_cell_angle_beta 90.00
_cell_angle_gamma 90.00
_symmetry_space_group_name_H-M 'A m m 2'
_symmetry_Int_Tables_number 38
loop_
_symmetry_equiv_pos_as_xyz
'x,y,z'
'-x,-y,z'
'-x,y,z'
'x,-y,z'
'x,y+1/2,z+1/2'
'-x,-y+1/2,z+1/2'
'-x,y+1/2,z+1/2'
'x,-y+1/2,z+1/2'
loop_
_atom_site_label
_atom_site_type_symbol
_atom_site_fract_x
_atom_site_fract_y
_atom_site_fract_z
Tb1 Tb 0.000 0.000 0.000
Th1 Th 0.500 0.000 0.726
Cu1 Cu 0.500 0.000 0.437
Ir1 Ir 0.000 0.000 0.267
# D(E_F) = 3.10 states/eV/f.u.
# E_form = -0.63 eV per atom
# Relative energy among the computed polymorphs = 0.000 eV per atom